## NdV2TcO8 (GGA+U)

Data for an optimized crystal structure of NdV2TcO8.

Properties
Crystal system: monoclinic
Uncorrected energy, eV per atom: -7.864
Theoretical density, g/cm3: 4.4

a b c (Å): 5.2567 5.2567 6.9456
angles (deg): 89.99 89.99 67.16
Last column: nearest neighbours and their distance in Å.
Fractional positions:
Nd 0.0000 0.0000 0.5000  6 O 2.40-2.43
V 0.3591 0.3591 0.7738  4 O 1.71-1.82
V 0.6409 0.6409 0.2262  4 O 1.71-1.82
Tc 0.0000 0.0000 0.0000  6 O 1.99-2.06
O 0.2658 0.7880 0.2158  1 V 1.82
O 0.7762 0.7762 0.0490  1 V 1.71
O 0.7880 0.2658 0.2158  1 V 1.82
O 0.7342 0.2120 0.7842  1 V 1.82
O 0.2238 0.2238 0.9510  1 V 1.71
O 0.2120 0.7342 0.7842  1 V 1.82
O 0.7299 0.7299 0.4450  1 V 1.71
O 0.2701 0.2701 0.5550  1 V 1.71